# 1
Computed, not measured: a geometry-optimized CeTmPb2 structure at the PBE-GGA level of DFT.

CIF file:
```
data_CeTmPb2
_cell_length_a 10.520
_cell_length_b 10.520
_cell_length_c 10.520
_cell_angle_alpha 19.89
_cell_angle_beta 19.89
_cell_angle_gamma 19.89
_symmetry_space_group_name_H-M 'P 1'
_symmetry_Int_Tables_number 1
loop_
_symmetry_equiv_pos_as_xyz
'x,y,z'
loop_
_atom_site_label
_atom_site_type_symbol
_atom_site_fract_x
_atom_site_fract_y
_atom_site_fract_z
_atom_site_occupancy
Ce1 Ce 0.000 0.000 0.000 1
Tm1 Tm 0.500 0.500 0.500 1
Pb1 Pb 0.247 0.247 0.247 1
Pb2 Pb 0.753 0.753 0.753 1
```

**DOS at the Fermi energy**: 7.1 states/eV/cell
**Calculated formation energy**: -0.27 eV per atom
**E_tot**: -4.723 eV per atom



# 2
Computed, not measured: a geometry-optimized SbCI2 structure at the PBE-GGA level of DFT.

CIF file:
```
data_SbCI2
_cell_length_a 5.301
_cell_length_b 5.301
_cell_length_c 5.301
_cell_angle_alpha 60.00
_cell_angle_beta 60.00
_cell_angle_gamma 60.00
_symmetry_space_group_name_H-M 'P 1'
_symmetry_Int_Tables_number 1
loop_
_symmetry_equiv_pos_as_xyz
'x,y,z'
loop_
_atom_site_label
_atom_site_type_symbol
_atom_site_fract_x
_atom_site_fract_y
_atom_site_fract_z
_atom_site_occupancy
Sb1 Sb 0.000 0.000 0.000 1
C1 C 0.500 0.500 0.500 1
I1 I 0.250 0.250 0.250 1
I2 I 0.750 0.750 0.750 1
```

**DOS at the Fermi energy**: 3.1 states/eV/cell
**Relative energy among the computed polymorphs**: 204 meV/atom
**Formation energy (no corrections)**: 1763 meV/atom
**E_tot**: -2.349 eV per atom



# 3
Computed, not measured: a geometry-optimized BaTi2Hg2 structure at the PBE-GGA level of DFT.

CIF file:
```
data_BaTi2Hg2
_cell_length_a 8.043
_cell_length_b 8.043
_cell_length_c 8.043
_cell_angle_alpha 149.46
_cell_angle_beta 149.46
_cell_angle_gamma 43.74
_symmetry_space_group_name_H-M 'P 1'
_symmetry_Int_Tables_number 1
loop_
_symmetry_equiv_pos_as_xyz
'x,y,z'
loop_
_atom_site_label
_atom_site_type_symbol
_atom_site_fract_x
_atom_site_fract_y
_atom_site_fract_z
_atom_site_occupancy
Ba1 Ba 0.000 0.000 0.000 1
Ti1 Ti 0.250 0.750 0.500 1
Ti2 Ti 0.750 0.250 0.500 1
Hg1 Hg 0.384 0.384 0.000 1
Hg2 Hg 0.616 0.616 0.000 1
```

**DOS at the Fermi energy**: 5.8 states/eV/cell
**Calculated formation energy**: 0.08 eV per atom
**Relative energy among the computed polymorphs**: 0 meV/atom
**E_tot**: -3.580 eV per atom



# 4
Computed, not measured: a geometry-optimized Cs3Na4Ag structure at the PBE-GGA level of DFT.

CIF file:
```
data_Cs3Na4Ag
_cell_length_a 7.442
_cell_length_b 15.524
_cell_length_c 8.073
_cell_angle_alpha 90.00
_cell_angle_beta 90.00
_cell_angle_gamma 90.00
_symmetry_space_group_name_H-M 'P 1'
_symmetry_Int_Tables_number 1
loop_
_symmetry_equiv_pos_as_xyz
'x,y,z'
loop_
_atom_site_label
_atom_site_type_symbol
_atom_site_fract_x
_atom_site_fract_y
_atom_site_fract_z
_atom_site_occupancy
Cs1 Cs 0.250 0.014 0.190 1
Cs2 Cs 0.250 0.486 0.190 1
Cs3 Cs 0.250 0.750 0.543 1
Cs4 Cs 0.750 0.250 0.457 1
Cs5 Cs 0.750 0.514 0.810 1
Cs6 Cs 0.750 0.986 0.810 1
Na1 Na 0.004 0.250 0.989 1
Na2 Na 0.250 0.136 0.650 1
Na3 Na 0.250 0.364 0.650 1
Na4 Na 0.496 0.250 0.989 1
Na5 Na 0.504 0.750 0.011 1
Na6 Na 0.750 0.636 0.350 1
Na7 Na 0.750 0.864 0.350 1
Na8 Na 0.996 0.750 0.011 1
Ag1 Ag 0.250 0.250 0.316 1
Ag2 Ag 0.750 0.750 0.684 1
```

**DOS at the Fermi energy**: 9.8 states/eV/cell
**Calculated formation energy**: 0.03 eV per atom
**E_tot**: -1.306 eV per atom